No. 1
VASP calculation (PBE) on a geometry-optimized Cr2TeMoRu structure.

* raw formation energy: 1.794 eV per atom

a = 4.385 Å, b = 5.086 Å, c = 4.385 Å
α = 90.00°, β = 90.00°, γ = 90.00°
Sites, in units of the cell vectors:
Cr  0.500  0.000  0.000
Cr  0.000  0.000  0.500
Ru  0.500  0.500  0.500
Te  0.000  0.500  0.000
Mo  0.000  0.000  0.000



No. 2
VASP calculation (PBE) on a geometry-optimized TiCrMoRu2 structure.

* ΔH_f (0 K): 0.993 eV/atom

a = 4.378 Å, b = 4.355 Å, c = 4.378 Å
α = 90.00°, β = 90.00°, γ = 90.00°
Site moments in Bohr magnetons follow the coordinates.
Sites, in units of the cell vectors:
Ti  0.000  0.500  0.000  -0.07
Ru  0.500  0.000  0.000  -0.01
Ru  0.000  0.000  0.500  0.00
Mo  0.500  0.500  0.500  1.42
Cr  0.000  0.000  0.000  0.12



No. 3
VASP calculation (PBE) on a geometry-optimized TiCrMoRu structure.

* ΔH_f (0 K): -0.193 eV/atom

a = 4.325 Å, b = 4.325 Å, c = 4.325 Å
α = 60.00°, β = 60.00°, γ = 60.00°
Sites, in units of the cell vectors:
Ru  0.000  0.000  0.000
Ti  0.750  0.750  0.750
Cr  0.500  0.500  0.500
Mo  0.250  0.250  0.250



No. 4
VASP calculation (PBE) on a geometry-optimized TiCrMo2Ru structure.

* ΔH_f (0 K): 1.624 eV/atom

a = 4.508 Å, b = 4.384 Å, c = 4.508 Å
α = 90.00°, β = 90.00°, γ = 90.00°
Sites, in units of the cell vectors:
Mo  0.000  0.000  0.500
Mo  0.500  0.000  0.000
Cr  0.500  0.500  0.500
Ti  0.000  0.000  0.000
Ru  0.000  0.500  0.000



No. 5
VASP calculation (PBE) on a geometry-optimized VCrMoRu structure.

* ΔH_f (0 K): -0.044 eV/atom

a = 4.267 Å, b = 4.267 Å, c = 4.267 Å
α = 60.00°, β = 60.00°, γ = 60.00°
Site moments in Bohr magnetons follow the coordinates.
Sites, in units of the cell vectors:
Mo  0.250  0.250  0.250  -0.21
Ru  0.750  0.750  0.750  -0.01
V  0.000  0.000  0.000  0.24
Cr  0.500  0.500  0.500  0.89



No. 6
VASP calculation (PBE) on a geometry-optimized VCr2MoRu structure.

* ΔH_f (0 K): 1.354 eV/atom

a = 4.142 Å, b = 4.480 Å, c = 4.142 Å
α = 90.00°, β = 90.00°, γ = 90.00°
Site moments in Bohr magnetons follow the coordinates.
Sites, in units of the cell vectors:
Cr  0.500  0.000  0.000  0.23
Cr  0.000  0.000  0.500  0.21
V  0.000  0.000  0.000  -0.05
Ru  0.500  0.500  0.500  -0.13
Mo  0.000  0.500  0.000  -0.07



No. 7
VASP calculation (PBE) on a geometry-optimized CrMo3S6 structure.

* raw formation energy: -0.362 eV per atom

a = 7.049 Å, b = 7.049 Å, c = 7.049 Å
α = 86.65°, β = 86.65°, γ = 86.65°
Site moments in Bohr magnetons follow the coordinates.
Sites, in units of the cell vectors:
S  0.679  0.060  0.900  0.01
S  0.417  0.181  0.541  -0.03
S  0.940  0.100  0.321  0.01
S  0.321  0.940  0.100  0.01
S  0.819  0.459  0.583  -0.03
S  0.181  0.541  0.417  -0.03
S  0.100  0.321  0.940  0.01
S  0.060  0.900  0.679  0.01
S  0.459  0.583  0.819  -0.03
S  0.583  0.819  0.459  -0.03
S  0.900  0.679  0.060  0.01
S  0.541  0.417  0.181  -0.03
Mo  0.231  0.618  0.088  0.56
Mo  0.382  0.912  0.769  0.56
Mo  0.912  0.769  0.382  0.56
Mo  0.618  0.088  0.231  0.56
Mo  0.088  0.231  0.618  0.56
Mo  0.769  0.382  0.912  0.56
Cr  0.000  0.000  0.000  -1.38
Cr  0.500  0.500  0.500  2.86



No. 8
VASP calculation (PBE) on a geometry-optimized CrMo3S4 structure.

* raw formation energy: -0.262 eV per atom

a = 6.246 Å, b = 5.372 Å, c = 7.704 Å
α = 90.00°, β = 90.00°, γ = 90.00°
Sites, in units of the cell vectors:
S  0.634  0.782  0.702
S  0.134  0.218  0.202
S  0.134  0.218  0.798
S  0.593  0.205  0.000
S  0.093  0.795  0.500
S  0.634  0.782  0.298
S  0.706  0.254  0.500
S  0.206  0.746  0.000
Mo  0.099  0.259  0.500
Mo  0.453  0.401  0.702
Mo  0.953  0.599  0.202
Mo  0.599  0.741  0.000
Mo  0.453  0.401  0.298
Mo  0.953  0.599  0.798
Cr  0.444  0.948  0.500
Cr  0.944  0.052  0.000



No. 9
VASP calculation (PBE) on a geometry-optimized Cr3MoS structure.

* raw formation energy: 0.498 eV per atom
* energy above the lowest structure with this stoichiometry: 0 meV/atom

a = 4.112 Å, b = 4.112 Å, c = 4.112 Å
α = 90.00°, β = 90.00°, γ = 90.00°
Sites, in units of the cell vectors:
Mo  0.500  0.500  0.500
Cr  0.000  0.000  0.500
Cr  0.500  0.000  0.000
Cr  0.000  0.500  0.000
S  0.000  0.000  0.000



No. 10
VASP calculation (PBE) on a geometry-optimized Cr2MoS structure.

* raw formation energy: 0.368 eV per atom

a = 6.823 Å, b = 6.823 Å, c = 5.400 Å
α = 50.82°, β = 50.82°, γ = 90.00°
Site moments in Bohr magnetons follow the coordinates.
Sites, in units of the cell vectors:
Cr  0.375  0.456  0.750  1.07
Cr  0.206  0.625  0.250  1.08
Cr  0.544  0.125  0.250  1.04
Cr  0.875  0.794  0.750  1.10
S  0.500  0.500  0.000  -0.03
S  0.250  0.750  0.500  -0.03
Mo  0.000  0.000  0.000  -0.24
Mo  0.750  0.250  0.500  -0.24



No. 11
VASP calculation (PBE) on a geometry-optimized Cr3MoS structure.

* raw formation energy: 1.919 eV per atom
* energy above the lowest structure with this stoichiometry: 1421 meV/atom

a = 4.485 Å, b = 4.485 Å, c = 4.485 Å
α = 90.00°, β = 90.00°, γ = 90.00°
Sites, in units of the cell vectors:
Cr  0.000  0.500  0.000
Cr  0.000  0.000  0.500
Cr  0.500  0.000  0.000
S  0.500  0.500  0.500
Mo  0.000  0.000  0.000



No. 12
VASP calculation (PBE) on a geometry-optimized CrMo2S structure.

* raw formation energy: 0.895 eV per atom

a = 5.392 Å, b = 5.392 Å, c = 6.585 Å
α = 65.83°, β = 65.83°, γ = 90.00°
Sites, in units of the cell vectors:
Mo  0.875  0.875  0.750
Mo  0.625  0.125  0.250
Mo  0.375  0.375  0.750
Mo  0.125  0.625  0.250
Cr  0.000  0.000  0.000
Cr  0.750  0.250  0.500
S  0.250  0.750  0.500
S  0.500  0.500  0.000



No. 13
VASP calculation (PBE) on a geometry-optimized TaCr2MoS structure.

* raw formation energy: 0.318 eV per atom

a = 4.145 Å, b = 4.456 Å, c = 4.145 Å
α = 90.00°, β = 90.00°, γ = 90.00°
Site moments in Bohr magnetons follow the coordinates.
Sites, in units of the cell vectors:
Mo  0.000  0.500  0.000  -0.01
Ta  0.500  0.500  0.500  -0.10
Cr  0.500  0.000  0.000  0.90
Cr  0.000  0.000  0.500  1.06
S  0.000  0.000  0.000  -0.04



No. 14
VASP calculation (PBE) on a geometry-optimized ZrCr2MoS structure.

* raw formation energy: 2.282 eV per atom

a = 4.564 Å, b = 4.900 Å, c = 4.564 Å
α = 90.00°, β = 90.00°, γ = 90.00°
Site moments in Bohr magnetons follow the coordinates.
Sites, in units of the cell vectors:
S  0.500  0.500  0.500  0.03
Zr  0.000  0.000  0.000  0.02
Cr  0.500  0.000  0.000  -0.01
Cr  0.000  0.000  0.500  0.10
Mo  0.000  0.500  0.000  -0.87



No. 15
VASP calculation (PBE) on a geometry-optimized CrSb2Mo structure.

* raw formation energy: 0.319 eV per atom
* energy above the lowest structure with this stoichiometry: 194 meV/atom

a = 7.408 Å, b = 4.686 Å, c = 3.313 Å
α = 90.02°, β = 63.41°, γ = 129.21°
Site moments in Bohr magnetons follow the coordinates.
Sites, in units of the cell vectors:
Cr  0.000  0.500  0.500  2.47
Mo  0.500  0.500  0.000  -0.25
Sb  0.000  0.000  0.000  -0.07
Sb  0.500  0.000  0.500  -0.07



No. 16
VASP calculation (PBE) on a geometry-optimized CrSbMo3 structure.

* raw formation energy: 1.086 eV per atom
* energy above the lowest structure with this stoichiometry: 0 meV/atom

a = 4.534 Å, b = 4.534 Å, c = 4.534 Å
α = 90.00°, β = 90.00°, γ = 90.00°
Sites, in units of the cell vectors:
Mo  0.000  0.500  0.000
Mo  0.000  0.000  0.500
Mo  0.500  0.000  0.000
Cr  0.000  0.000  0.000
Sb  0.500  0.500  0.500



No. 17
VASP calculation (PBE) on a geometry-optimized CrSb2Mo structure.

* raw formation energy: 0.393 eV per atom
* energy above the lowest structure with this stoichiometry: 267 meV/atom

a = 8.507 Å, b = 8.507 Å, c = 8.507 Å
α = 23.00°, β = 23.00°, γ = 23.00°
Site moments in Bohr magnetons follow the coordinates.
Sites, in units of the cell vectors:
Cr  0.250  0.250  0.250  3.71
Sb  0.496  0.496  0.496  -0.03
Sb  0.004  0.004  0.004  -0.03
Mo  0.750  0.750  0.750  0.30



No. 18
VASP calculation (PBE) on a geometry-optimized CrSb2Mo structure.

* raw formation energy: 0.292 eV per atom
* energy above the lowest structure with this stoichiometry: 166 meV/atom

a = 4.713 Å, b = 4.713 Å, c = 4.713 Å
α = 60.00°, β = 60.00°, γ = 60.00°
Site moments in Bohr magnetons follow the coordinates.
Sites, in units of the cell vectors:
Mo  0.500  0.500  0.500  -0.25
Cr  0.000  0.000  0.000  2.80
Sb  0.250  0.250  0.250  -0.08
Sb  0.750  0.750  0.750  -0.08



No. 19
VASP calculation (PBE) on a geometry-optimized CrSb2Mo structure.

* raw formation energy: 0.392 eV per atom
* energy above the lowest structure with this stoichiometry: 267 meV/atom

a = 4.639 Å, b = 4.639 Å, c = 5.494 Å
α = 80.69°, β = 80.69°, γ = 42.91°
Site moments in Bohr magnetons follow the coordinates.
Sites, in units of the cell vectors:
Cr  0.750  0.750  0.750  3.33
Mo  0.250  0.250  0.250  -0.41
Sb  0.990  0.990  0.013  -0.04
Sb  0.510  0.510  0.487  -0.04



No. 20
VASP calculation (PBE) on a geometry-optimized Cr2SbMo structure.

* raw formation energy: 0.338 eV per atom

a = 5.010 Å, b = 5.010 Å, c = 5.010 Å
α = 141.84°, β = 128.75°, γ = 65.66°
Sites, in units of the cell vectors:
Cr  0.507  0.507  0.000
Cr  0.993  0.993  0.000
Mo  0.750  0.250  0.500
Sb  0.250  0.750  0.500